A plane-wave DFT calculation with PBE was carried out for a geometry-optimized CuPt3 structure.

abc: 6.230 6.230 6.230
angles: 90.00 90.00 90.00
Space group Fm-3m (No. 225)
One atom of each set of equivalent atoms:
Cu: 0.000 0.000 0.000 [4 per cell]
Pt: 0.000 0.000 0.500 [4 per cell]
Pt: 0.250 0.250 0.250 [8 per cell]

Calculated values
**Magnetic moment**: 0.00 μB/cell
**E_form**: 0.028 eV/atom
**Electronic total energy**: -5.5265 eV per atom
**Volume**: 15.11 A^3/atom